Entry 1:
VASP calculation (PBE-GGA) on an optimized crystal structure of Cu3RhN.

The structure in extended XYZ format:
```
5
Lattice="4.567 0.000 0.000 0.000 4.567 0.000 0.000 0.000 4.567" Properties=species:S:1:pos:R:3 pbc="T T T"
Rh 0.000 0.000 0.000
Cu 0.000 2.283 0.000
Cu 0.000 0.000 2.283
Cu 2.283 0.000 0.000
N 2.283 2.283 2.283
```

Computed properties:
The energy above the most stable polymorph in this dataset comes out at 1.909 eV per atom. As for the uncorrected formation energy: 2.23 eV/atom. The space-group type is Pm-3m (221). The volume is 95.3 Å³/cell. Its total magnetic moment is 0.001 μB per atom. The value obtained for the density of states at the Fermi level is 10.6 states/eV/cell.

Entry 2:
VASP calculation (PBE-GGA) on an optimized crystal structure of CaScCo2.

The structure in extended XYZ format:
```
4
Lattice="-2.578 -5.600 0.529 1.905 -5.301 -2.560 1.503 4.929 3.424" Properties=species:S:1:pos:R:3 pbc="T T T"
Sc -0.328 -5.313 -0.990
Ca 1.554 -2.613 -0.020
Co -0.642 -10.397 -1.937
Co -0.763 -3.998 1.294
```

Computed properties:
The formation energy comes out at 113 meV per atom. The energy above the most stable polymorph in this dataset comes out at 0.112 eV per atom. The space-group type is Imm2 (44). The volume is 81.5 Å³/cell. Its total magnetic moment is 0.505 μB per atom. The value obtained for the density of states at the Fermi level is 4.3 states/eV/cell.

Entry 3:
VASP calculation (PBE-GGA) on an optimized crystal structure of LiZnCu2.

The structure in extended XYZ format:
```
4
Lattice="4.598 -0.020 0.045 3.856 2.506 0.045 0.754 0.222 4.437" Properties=species:S:1:pos:R:3 pbc="T T T"
Zn 2.363 0.695 1.082
Cu 0.026 0.008 0.008
Cu 6.834 2.010 3.388
Li 4.589 1.349 2.314
```

Computed properties:
The formation energy comes out at -99 meV per atom. The space-group type is Cm (8). The volume is 51.4 Å³/cell. Its total magnetic moment is 0.000 μB per atom. The value obtained for the density of states at the Fermi level is 1.1 states/eV/cell.

Entry 4:
VASP calculation (PBE-GGA) on an optimized crystal structure of ZrNbTl2N.

The structure in extended XYZ format:
```
5
Lattice="-4.343 0.487 -3.526 0.493 -3.669 -1.114 -3.487 -1.701 4.060" Properties=species:S:1:pos:R:3 pbc="T T T"
Tl -1.744 -0.850 2.030
Tl -2.172 0.244 -1.763
Nb 0.000 0.000 0.000
Zr -3.669 -2.441 -0.290
N 0.246 -1.834 -0.557
```

Computed properties:
As for the uncorrected formation energy: 0.64 eV/atom. The space-group type is P4/mmm (123). The volume is 121.9 Å³/cell. Its total magnetic moment is 0.104 μB per atom. The value obtained for the density of states at the Fermi level is 4.8 states/eV/cell.

The lowest volume belongs to which entry? LiZnCu2